LaSn2IrAu | GGA-PBE | relaxed

Results
**Mass density**: 10.77 g cm⁻³
**Energy**: -56.66 eV per cell

POSCAR file:
```
LaSn2IrAu
1.0
4.681 0.000 0.000
0.000 4.664 0.000
-0.128 0.000 10.812
Au Ir La Sn
2 2 2 4
direct
0.788 0.750 0.001 Au
0.212 0.250 0.999 Au
0.750 0.250 0.379 Ir
0.250 0.750 0.621 Ir
0.232 0.750 0.254 La
0.768 0.250 0.746 La
0.713 0.250 0.141 Sn
0.253 0.250 0.500 Sn
0.747 0.750 0.500 Sn
0.287 0.750 0.859 Sn
```